Density functional theory data (PBE with a Hubbard U) for a relaxed structure of CsNiSeO4.

Structure (POSCAR):
```
CsNiSeO4
1.0
-5.2762 -2.8110 0.5249
-1.2118 -3.2127 4.9220
-4.0714 1.9720 3.9434
O Cs Ni Se
4 1 1 1
Cartesian
-3.9105 -1.5005 3.4775 O
-6.0221 -0.4777 5.5229 O
-6.6470 -2.9584 3.7498 O
-4.5390 -3.1668 6.0304 O
-7.9195 -3.0387 7.0427 Cs
-5.2797 -2.0258 4.6951 Ni
-2.6398 -1.0129 2.3476 Se
```

The calculation puts the density of states at the Fermi level at 4.6 states/eV per cell. The total magnetization comes out at 1.4 μB/cell. The value obtained for the total energy is -4.57 eV per atom. The space group is No. 216.